No. 1
Crystalline Ti2Fe at its relaxed geometry, computed with GGA-PBE.

It has space group R-3m (No. 166, hexagonal axes), with a = 4.4411 Å, b = 4.4411 Å, c = 8.5403 Å, α = 90.00°, β = 90.00° and γ = 120.00°. The distinct sites, in fractional coordinates, are Ti at (0.0000, 0.0000, 0.2491) and Fe at (0.0000, 0.0000, 0.5000).

The energy comes out at -8.07 eV per atom.

No. 2
Crystalline K2MgGa4Sn3 at its relaxed geometry, computed with GGA-PBE.

It has space group P-4m2 (No. 115), with a = 4.8307 Å, b = 4.8307 Å, c = 11.6219 Å, α = 90.00°, β = 90.00° and γ = 90.00°. The distinct sites, in fractional coordinates, are K at (0.0000, 0.5000, 0.2438), Mg at (0.0000, 0.0000, 0.5000), Ga at (0.0000, 0.0000, 0.0000), Ga at (0.0000, 0.5000, 0.6336), Ga at (0.5000, 0.5000, 0.0000), Sn at (0.0000, 0.5000, 0.8703) and Sn at (0.5000, 0.5000, 0.5000).

The energy comes out at -2.95 eV per atom.

Number 1: ρ 5.18 g cm⁻³. Number 2: ρ 4.52 g cm⁻³.